Density functional theory data (GGA-PBE) for crystalline LaScAs at its relaxed geometry.

Cell: 6.036 6.036 6.036 Å, 144.05 144.05 51.76°
Fractional positions:
La 0.000 0.000 0.000
Sc 0.718 0.718 0.000
As 0.299 0.299 0.000

Properties
The value obtained for the total energy is -0.4452 Ry/atom. The value obtained for the volume is 75.37 Å³ per cell. The theoretical density comes out at 5701 kg/m3. For the formation energy, the calculation gives -0.755 eV per atom. As for the total magnetization: 0.0016 μB per atom.

***

Density functional theory data (GGA-PBE) for crystalline LaScAsSe2 at its relaxed geometry.

Cell: 5.106 5.106 5.109 Å, 90.00 90.00 90.00°
Fractional positions:
La 0.000 0.000 0.000
Sc 0.500 0.500 0.500
As 0.500 0.500 0.000
Se 0.000 0.500 0.500
Se 0.500 0.000 0.500

Properties
The value obtained for the total energy is -0.4217 Ry/atom. Its energy relative to the elements, uncorrected is -1162 meV per atom. The value obtained for the volume is 133.23 Å³ per cell. The calculation puts the excess energy over the best structure of this formula in the dataset at 0 meV per atom. The theoretical density comes out at 5194 kg/m3. As for the total magnetization: 0.0000 μB per atom.

***

Density functional theory data (GGA-PBE) for crystalline LaScAs2Se at its relaxed geometry.

Cell: 5.529 5.529 5.573 Å, 90.00 90.00 90.00°
Fractional positions:
La 0.000 0.000 0.000
Sc 0.500 0.500 0.500
As 0.000 0.500 0.000
As 0.500 0.000 0.000
Se 0.000 0.000 0.500

Properties
The value obtained for the total energy is -0.3443 Ry/atom. Its energy relative to the elements, uncorrected is 125 meV per atom. The value obtained for the volume is 170.33 Å³ per cell. The calculation puts the excess energy over the best structure of this formula in the dataset at 998 meV per atom. The theoretical density comes out at 4023 kg/m3. As for the total magnetization: 0.0000 μB per atom.

***

Density functional theory data (GGA-PBE) for crystalline LaScAsSe2 at its relaxed geometry.

Cell: 5.592 5.592 5.590 Å, 90.00 90.00 90.00°
Fractional positions:
La 0.000 0.000 0.000
Sc 0.500 0.500 0.500
As 0.000 0.000 0.500
Se 0.000 0.500 0.000
Se 0.500 0.000 0.000

Properties
The value obtained for the total energy is -0.3501 Ry/atom. Its energy relative to the elements, uncorrected is -188 meV per atom. The value obtained for the volume is 174.80 Å³ per cell. The calculation puts the excess energy over the best structure of this formula in the dataset at 975 meV per atom. The theoretical density comes out at 3958 kg/m3. As for the total magnetization: 0.0003 μB per atom.

***

Density functional theory data (GGA-PBE) for crystalline LaScAs2Se at its relaxed geometry.

Cell: 5.043 5.043 5.176 Å, 90.00 90.00 90.00°
Fractional positions:
La 0.000 0.000 0.000
Sc 0.500 0.500 0.500
As 0.000 0.500 0.500
As 0.500 0.000 0.500
Se 0.500 0.500 0.000

Properties
The value obtained for the total energy is -0.4176 Ry/atom. Its energy relative to the elements, uncorrected is -873 meV per atom. The value obtained for the volume is 131.66 Å³ per cell. The calculation puts the excess energy over the best structure of this formula in the dataset at 0 meV per atom. The theoretical density comes out at 5205 kg/m3. As for the total magnetization: 0.0000 μB per atom.

***

Density functional theory data (GGA-PBE) for crystalline La2SmScAs4 at its relaxed geometry.

Cell: 7.295 4.227 7.306 Å, 90.00 109.52 90.00°
Fractional positions:
La 0.000 0.000 0.000
La 0.000 0.500 0.500
Sm 0.500 0.000 0.500
Sc 0.500 0.500 0.000
As 0.264 0.500 0.246
As 0.271 0.000 0.766
As 0.729 0.000 0.234
As 0.736 0.500 0.754

Properties
The value obtained for the total energy is -0.4710 Ry/atom. The value obtained for the volume is 212.35 Å³ per cell. The theoretical density comes out at 6043 kg/m3. For the formation energy, the calculation gives -1.470 eV per atom. As for the total magnetization: 0.0000 μB per atom.

***

Density functional theory data (GGA-PBE) for crystalline SrLa2ScAs at its relaxed geometry.

Cell: 5.784 5.784 5.246 Å, 90.00 90.00 90.00°
Fractional positions:
Sr 0.000 0.000 0.000
La 0.000 0.500 0.500
La 0.500 0.000 0.500
Sc 0.500 0.500 0.500
As 0.500 0.500 0.000

Properties
The value obtained for the total energy is -0.3220 Ry/atom. The value obtained for the volume is 175.49 Å³ per cell. The calculation puts the excess energy over the best structure of this formula in the dataset at 295 meV per atom. The theoretical density comes out at 4592 kg/m3. For the formation energy, the calculation gives 0.122 eV per atom. As for the total magnetization: 0.0007 μB per atom.

***

Density functional theory data (GGA-PBE) for crystalline SrLa2ScAs at its relaxed geometry.

Cell: 5.797 5.797 5.885 Å, 90.00 90.00 90.00°
Fractional positions:
Sr 0.000 0.000 0.000
La 0.000 0.500 0.500
La 0.500 0.000 0.500
Sc 0.500 0.500 0.000
As 0.000 0.000 0.500

Properties
The value obtained for the total energy is -0.3437 Ry/atom. The value obtained for the volume is 197.77 Å³ per cell. The calculation puts the excess energy over the best structure of this formula in the dataset at 0 meV per atom. The theoretical density comes out at 4075 kg/m3. For the formation energy, the calculation gives -0.172 eV per atom. As for the total magnetization: 0.0002 μB per atom.

***

Density functional theory data (GGA-PBE) for crystalline LaScTe2As at its relaxed geometry.

Cell: 5.254 5.254 6.550 Å, 90.00 90.00 90.00°
Fractional positions:
La 0.000 0.000 0.000
Sc 0.000 0.000 0.500
Te 0.000 0.500 0.500
Te 0.500 0.000 0.500
As 0.500 0.500 0.000

Properties
The value obtained for the total energy is -0.3282 Ry/atom. Its energy relative to the elements, uncorrected is -27 meV per atom. The value obtained for the volume is 180.83 Å³ per cell. The theoretical density comes out at 4720 kg/m3. As for the total magnetization: 0.1203 μB per atom.

***

Density functional theory data (GGA-PBE) for crystalline La3Th2ScAs6 at its relaxed geometry.

Cell: 9.543 9.543 8.523 Å, 103.50 103.50 25.83°
Fractional positions:
La 0.000 0.000 0.000
La 0.333 0.333 0.665
La 0.667 0.667 0.335
Th 0.337 0.337 0.172
Th 0.663 0.663 0.828
Sc 0.000 0.000 0.500
As 0.159 0.159 0.583
As 0.169 0.169 0.078
As 0.500 0.500 0.268
As 0.500 0.500 0.732
As 0.831 0.831 0.922
As 0.841 0.841 0.417

Properties
The value obtained for the total energy is -0.4994 Ry/atom. The value obtained for the volume is 328.31 Å³ per cell. The theoretical density comes out at 6956 kg/m3. For the formation energy, the calculation gives -1.474 eV per atom. As for the total magnetization: 0.0000 μB per atom.

***

Density functional theory data (GGA-PBE) for crystalline La2ThScAs4 at its relaxed geometry.

Cell: 7.285 4.240 7.363 Å, 90.00 109.43 90.00°
Fractional positions:
La 0.000 0.000 0.000
La 0.500 0.500 0.000
Th 0.000 0.500 0.500
Sc 0.500 0.000 0.500
As 0.255 0.000 0.736
As 0.266 0.500 0.271
As 0.734 0.500 0.729
As 0.745 0.000 0.264

Properties
The value obtained for the total energy is -0.4952 Ry/atom. The value obtained for the volume is 214.48 Å³ per cell. The theoretical density comes out at 6616 kg/m3. For the formation energy, the calculation gives -1.462 eV per atom. As for the total magnetization: 0.0000 μB per atom.

***

Density functional theory data (GGA-PBE) for crystalline La3TmSc2As6 at its relaxed geometry.

Cell: 7.227 7.227 7.182 Å, 99.66 99.66 119.99°
Fractional positions:
La 0.000 0.000 0.000
La 0.334 0.666 0.000
La 0.666 0.334 0.000
Tm 0.500 0.500 0.500
Sc 0.167 0.833 0.500
Sc 0.833 0.167 0.500
As 0.086 0.425 0.274
As 0.236 0.236 0.724
As 0.425 0.086 0.274
As 0.575 0.914 0.726
As 0.764 0.764 0.276
As 0.914 0.575 0.726

Properties
The value obtained for the total energy is -0.4735 Ry/atom. The value obtained for the volume is 306.04 Å³ per cell. The theoretical density comes out at 6105 kg/m3. For the formation energy, the calculation gives -1.457 eV per atom. As for the total magnetization: 0.0000 μB per atom.

***

Density functional theory data (GGA-PBE) for crystalline La2YScAs4 at its relaxed geometry.

Cell: 7.244 4.203 7.271 Å, 90.00 109.55 90.00°
Fractional positions:
La 0.000 0.000 0.000
La 0.000 0.500 0.500
Y 0.500 0.000 0.500
Sc 0.500 0.500 0.000
As 0.268 0.500 0.249
As 0.273 0.000 0.764
As 0.727 0.000 0.236
As 0.732 0.500 0.751

Properties
The value obtained for the total energy is -0.4881 Ry/atom. The value obtained for the volume is 208.62 Å³ per cell. The theoretical density comes out at 5662 kg/m3. For the formation energy, the calculation gives -1.484 eV per atom. As for the total magnetization: 0.0000 μB per atom.

***

Density functional theory data (GGA-PBE) for crystalline LaY2ScAs4 at its relaxed geometry.

Cell: 7.152 4.143 7.169 Å, 90.00 109.40 90.00°
Fractional positions:
La 0.000 0.000 0.000
Y 0.000 0.500 0.500
Y 0.500 0.000 0.500
Sc 0.500 0.500 0.000
As 0.264 0.000 0.755
As 0.264 0.500 0.254
As 0.736 0.000 0.245
As 0.736 0.500 0.746

Properties
The value obtained for the total energy is -0.5008 Ry/atom. The value obtained for the volume is 200.35 Å³ per cell. The theoretical density comes out at 5481 kg/m3. For the formation energy, the calculation gives -1.466 eV per atom. As for the total magnetization: 0.0000 μB per atom.

***

Density functional theory data (GGA-PBE) for crystalline LaY2ScAs at its relaxed geometry.

Cell: 5.575 5.575 5.607 Å, 90.00 90.00 90.00°
Fractional positions:
La 0.000 0.000 0.000
Y 0.000 0.500 0.000
Y 0.500 0.000 0.000
Sc 0.500 0.500 0.500
As 0.000 0.000 0.500

Properties
The value obtained for the total energy is -0.3663 Ry/atom. The value obtained for the volume is 174.29 Å³ per cell. The theoretical density comes out at 4160 kg/m3. For the formation energy, the calculation gives 0.783 eV per atom. As for the total magnetization: 0.0000 μB per atom.

***

Density functional theory data (GGA-PBE) for crystalline La2ZrScAs4 at its relaxed geometry.

Cell: 7.105 4.103 7.155 Å, 90.00 109.29 90.00°
Fractional positions:
La 0.000 0.000 0.000
La 0.500 0.500 0.000
Zr 0.000 0.500 0.500
Sc 0.500 0.000 0.500
As 0.240 0.000 0.721
As 0.259 0.500 0.279
As 0.741 0.500 0.721
As 0.760 0.000 0.279

Properties
The value obtained for the total energy is -0.5009 Ry/atom. The value obtained for the volume is 196.87 Å³ per cell. The theoretical density comes out at 6020 kg/m3. For the formation energy, the calculation gives -1.399 eV per atom. As for the total magnetization: 0.0000 μB per atom.

***

Density functional theory data (GGA-PBE) for crystalline La5AsSe4 at its relaxed geometry.

Cell: 15.601 15.601 15.601 Å, 164.06 164.06 22.61°
Fractional positions:
La 0.000 0.000 0.000
La 0.201 0.201 0.000
La 0.401 0.401 0.000
La 0.599 0.599 0.000
La 0.799 0.799 0.000
As 0.500 0.500 0.000
Se 0.101 0.101 0.000
Se 0.301 0.301 0.000
Se 0.699 0.699 0.000
Se 0.899 0.899 0.000

Properties
The value obtained for the total energy is -0.4600 Ry/atom. Its energy relative to the elements, uncorrected is -1937 meV per atom. The value obtained for the volume is 286.19 Å³ per cell. The theoretical density comes out at 6297 kg/m3. As for the total magnetization: 0.0000 μB per atom.

***

Density functional theory data (GGA-PBE) for crystalline La2AsSe at its relaxed geometry.

Cell: 4.344 4.344 6.137 Å, 90.00 90.00 90.00°
Fractional positions:
La 0.000 0.000 0.000
La 0.500 0.500 0.500
As 0.000 0.000 0.500
Se 0.500 0.500 0.000

Properties
The value obtained for the total energy is -0.4655 Ry/atom. Its energy relative to the elements, uncorrected is -1836 meV per atom. The value obtained for the volume is 115.78 Å³ per cell. The calculation puts the excess energy over the best structure of this formula in the dataset at 3 meV per atom. The theoretical density comes out at 6191 kg/m3. As for the total magnetization: 0.0000 μB per atom.

***

Density functional theory data (GGA-PBE) for crystalline La2AsSe at its relaxed geometry.

Cell: 4.345 4.345 7.539 Å, 106.69 106.69 59.97°
Fractional positions:
La 0.247 0.247 0.241
La 0.753 0.753 0.759
As 0.500 0.500 0.000
Se 0.000 0.000 0.500

Properties
The value obtained for the total energy is -0.4656 Ry/atom. Its energy relative to the elements, uncorrected is -1837 meV per atom. The value obtained for the volume is 116.26 Å³ per cell. The calculation puts the excess energy over the best structure of this formula in the dataset at 1 meV per atom. The theoretical density comes out at 6166 kg/m3. As for the total magnetization: 0.0000 μB per atom.

***

Density functional theory data (GGA-PBE) for crystalline La8As4Se3 at its relaxed geometry.

Cell: 8.653 8.653 8.656 Å, 119.89 119.89 90.12°
Fractional positions:
La 0.247 0.753 0.000
La 0.248 0.248 0.491
La 0.251 0.251 0.004
La 0.253 0.747 0.500
La 0.747 0.253 0.500
La 0.749 0.749 0.996
La 0.752 0.752 0.509
La 0.753 0.247 0.000
As 0.000 0.000 0.000
As 0.000 0.500 0.000
As 0.500 0.000 0.000
As 0.500 0.500 0.500
Se 0.000 0.000 0.500
Se 0.000 0.500 0.500
Se 0.500 0.000 0.500

Properties
The value obtained for the total energy is -0.4569 Ry/atom. Its energy relative to the elements, uncorrected is -1652 meV per atom. The value obtained for the volume is 459.28 Å³ per cell. The theoretical density comes out at 5958 kg/m3. As for the total magnetization: 0.0000 μB per atom.